Model A:
KSc2Co2 | PBE-GGA | relaxed

Cell and atoms, written as CIF:
```
data_KSc2Co2
_cell_length_a 8.023
_cell_length_b 8.023
_cell_length_c 3.020
_cell_angle_alpha 90.00
_cell_angle_beta 90.00
_cell_angle_gamma 90.00
_symmetry_space_group_name_H-M 'P 4/m b m'
_symmetry_Int_Tables_number 127
_symmetry_space_group_name_Hall '-P 4 2ab'
loop_
_atom_site_label
_atom_site_type_symbol
_atom_site_fract_x
_atom_site_fract_y
_atom_site_fract_z
_atom_site_occupancy
K1 K 0.000 0.000 0.000 1
Sc1 Sc 0.133 0.367 0.000 1
Co1 Co 0.135 0.635 0.500 1
```

Output
N(E_F) = 8.7 states/eV per cell

***

Model B:
KSc2Co2 | PBE-GGA | relaxed

Cell and atoms, written as CIF:
```
data_KSc2Co2
_cell_length_a 3.429
_cell_length_b 3.429
_cell_length_c 21.775
_cell_angle_alpha 90.00
_cell_angle_beta 90.00
_cell_angle_gamma 90.00
_symmetry_space_group_name_H-M 'I 4/m m m'
_symmetry_Int_Tables_number 139
_symmetry_space_group_name_Hall '-I 4 2'
loop_
_atom_site_label
_atom_site_type_symbol
_atom_site_fract_x
_atom_site_fract_y
_atom_site_fract_z
_atom_site_occupancy
K1 K 0.000 0.000 0.000 1
Sc1 Sc 0.000 0.000 0.339 1
Co1 Co 0.000 0.500 0.250 1
```

Output
N(E_F) = 15.3 states/eV per cell

***

Out of the structures above, which one is the most stable? Solution: model A.